1.
The following is a PBE calculation of crystalline Tb6In2H at its relaxed geometry, from the Alexandria database.

```
Tb6In2H
1.0
6.4686 0.0000 0.0000
0.0000 9.2333 0.0000
-5.0585 0.0000 8.1007
Tb In H
12 4 2
Direct
0.1365 0.1314 0.4833
0.1365 0.3686 0.9833
0.3172 0.7359 0.4405
0.3172 0.7641 0.9405
0.3195 0.0431 0.1984
0.3195 0.4569 0.6984
0.6805 0.5431 0.3016
0.6805 0.9569 0.8016
0.6828 0.2359 0.0595
0.6828 0.2641 0.5595
0.8635 0.6314 0.0167
0.8635 0.8686 0.5167
0.1800 0.0895 0.8204
0.1800 0.4105 0.3204
0.8200 0.5895 0.6796
0.8200 0.9105 0.1796
0.5000 0.0000 0.5000
0.5000 0.5000 0.0000
```

Electronic total energy, eV/atom: -4.318
Density of states at the Fermi level, states/eV/cell: 18.62
SG: No. 14

2.
The following is a PBE calculation of crystalline Tb3In5H12 at its relaxed geometry, from the Alexandria database.

```
Tb3In5H12
1.0
-6.4602 6.4602 6.4602
6.4602 -6.4602 6.4602
6.4602 6.4602 -6.4602
Tb In H
12 20 48
Direct
0.1250 0.2500 0.3750
0.1250 0.3750 0.7500
0.2500 0.3750 0.1250
0.2500 0.8750 0.6250
0.3750 0.1250 0.2500
0.3750 0.7500 0.1250
0.6250 0.2500 0.8750
0.6250 0.8750 0.7500
0.7500 0.1250 0.3750
0.7500 0.6250 0.8750
0.8750 0.6250 0.2500
0.8750 0.7500 0.6250
0.0000 0.0000 0.0000
0.0000 0.0000 0.5000
0.0000 0.5000 0.0000
0.0000 0.5000 0.5000
0.1250 0.7500 0.8750
0.1250 0.8750 0.2500
0.2500 0.1250 0.8750
0.2500 0.6250 0.3750
0.3750 0.2500 0.6250
0.3750 0.6250 0.7500
0.5000 0.0000 0.0000
0.5000 0.0000 0.5000
0.5000 0.5000 0.0000
0.5000 0.5000 0.5000
0.6250 0.3750 0.2500
0.6250 0.7500 0.3750
0.7500 0.3750 0.6250
0.7500 0.8750 0.1250
0.8750 0.1250 0.7500
0.8750 0.2500 0.1250
0.0768 0.6591 0.4177
0.0768 0.9177 0.6591
0.0823 0.2414 0.1591
0.0823 0.3409 0.9232
0.0823 0.7414 0.6591
0.0823 0.8409 0.4232
0.1591 0.0823 0.2414
0.1591 0.2414 0.5823
0.1591 0.4177 0.5768
0.1591 0.5768 0.9177
0.2414 0.1591 0.0823
0.2414 0.5823 0.1591
0.2586 0.3409 0.9177
0.2586 0.4177 0.3409
0.3409 0.2586 0.4177
0.3409 0.5823 0.9232
0.3409 0.9177 0.2586
0.3409 0.9232 0.0823
0.4177 0.0768 0.6591
0.4177 0.3409 0.2586
0.4177 0.5768 0.1591
0.4177 0.8409 0.7586
0.4232 0.0823 0.8409
0.4232 0.8409 0.5823
0.5768 0.1591 0.4177
0.5768 0.9177 0.1591
0.5823 0.1591 0.2414
0.5823 0.4232 0.8409
0.5823 0.6591 0.7414
0.5823 0.9232 0.3409
0.6591 0.0768 0.9177
0.6591 0.0823 0.7414
0.6591 0.4177 0.0768
0.6591 0.7414 0.5823
0.7414 0.5823 0.6591
0.7414 0.6591 0.0823
0.7586 0.4177 0.8409
0.7586 0.8409 0.9177
0.8409 0.4232 0.0823
0.8409 0.5823 0.4232
0.8409 0.7586 0.4177
0.8409 0.9177 0.7586
0.9177 0.1591 0.5768
0.9177 0.2586 0.3409
0.9177 0.6591 0.0768
0.9177 0.7586 0.8409
0.9232 0.0823 0.3409
0.9232 0.3409 0.5823
```

Electronic total energy, eV/atom: -3.338
Density of states at the Fermi level, states/eV/cell: 27.61
SG: No. 230

3.
The following is a PBE calculation of crystalline Tb3InH at its relaxed geometry, from the Alexandria database.

```
Tb3InH
1.0
5.7058 -3.4352 0.0000
5.7058 3.4352 0.0000
-5.5773 0.0000 6.0554
Tb In H
6 2 2
Direct
0.0000 0.0000 0.0000
0.0818 0.5779 0.1696
0.4911 0.9925 0.5271
0.5703 0.5703 0.6890
0.5779 0.0818 0.1696
0.9925 0.4911 0.5271
0.0561 0.0561 0.6647
0.5163 0.5163 0.0335
0.2891 0.2891 0.3419
0.8100 0.8100 0.0013
```

Electronic total energy, eV/atom: -4.332
Density of states at the Fermi level, states/eV/cell: 9.37
SG: No. 8

4.
The following is a PBE calculation of crystalline Tb4In2H at its relaxed geometry, from the Alexandria database.

```
Tb4In2H
1.0
-2.3087 2.3087 8.4381
2.3087 -2.3087 8.4381
2.3087 2.3087 -8.4381
Tb In H
4 2 1
Direct
0.0000 0.5000 0.5000
0.1769 0.1769 0.0000
0.5000 0.0000 0.5000
0.8231 0.8231 0.0000
0.3645 0.3645 0.0000
0.6355 0.6355 0.0000
0.0000 0.0000 0.0000
```

Electronic total energy, eV/atom: -4.273
Density of states at the Fermi level, states/eV/cell: 5.40
Polymorph energy (0 for the lowest one), meV/atom: 37
SG: No. 139

5.
The following is a PBE calculation of crystalline Tb4In2H at its relaxed geometry, from the Alexandria database.

```
Tb4In2H
1.0
6.0495 0.0000 0.0000
0.0000 6.7720 0.0000
-2.3023 0.0000 8.7647
Tb In H
8 4 2
Direct
0.1807 0.2500 0.0667
0.2663 0.7500 0.3753
0.2743 0.5010 0.7322
0.2743 0.9990 0.7322
0.7257 0.0010 0.2678
0.7257 0.4990 0.2678
0.7337 0.2500 0.6247
0.8193 0.7500 0.9333
0.2140 0.2500 0.4194
0.3449 0.7500 0.0432
0.6551 0.2500 0.9568
0.7860 0.7500 0.5806
0.0791 0.2500 0.8009
0.9209 0.7500 0.1991
```

Electronic total energy, eV/atom: -4.310
Density of states at the Fermi level, states/eV/cell: 9.27
Polymorph energy (0 for the lowest one), meV/atom: 0
SG: No. 11

6.
The following is a PBE calculation of crystalline Tb2InH at its relaxed geometry, from the Alexandria database.

```
Tb2InH
1.0
3.3653 0.0000 0.0000
0.0000 3.3653 0.0000
0.0000 0.0000 7.5958
Tb In H
2 1 1
Direct
0.0000 0.0000 0.2123
0.0000 0.0000 0.7877
0.5000 0.5000 0.5000
0.5000 0.5000 0.0000
```

Electronic total energy, eV/atom: -3.932
Density of states at the Fermi level, states/eV/cell: 4.26
Polymorph energy (0 for the lowest one), meV/atom: 366
SG: No. 123

7.
The following is a PBE calculation of crystalline Tb5In4H at its relaxed geometry, from the Alexandria database.

```
Tb5In4H
1.0
-4.7829 4.7829 2.7870
4.7829 -4.7829 2.7870
4.7829 4.7829 -2.7870
Tb In H
5 4 1
Direct
0.0000 0.0000 0.0000
0.2918 0.3606 0.6563
0.3606 0.7044 0.0688
0.6356 0.2918 0.9312
0.7044 0.6356 0.3437
0.0298 0.6550 0.6891
0.3406 0.0298 0.3748
0.6550 0.9659 0.6252
0.9659 0.3406 0.3109
0.4127 0.4127 0.0000
```

Electronic total energy, eV/atom: -4.008
Density of states at the Fermi level, states/eV/cell: 9.84
SG: No. 79

8.
The following is a PBE calculation of crystalline Tb2InH at its relaxed geometry, from the Alexandria database.

```
Tb2InH
1.0
1.8067 1.0431 7.8012
-1.8067 1.0431 7.8012
0.0000 -2.0862 7.8012
Tb In H
2 1 1
Direct
0.2256 0.2256 0.2256
0.7744 0.7744 0.7744
0.0000 0.0000 0.0000
0.5000 0.5000 0.5000
```

Electronic total energy, eV/atom: -4.173
Density of states at the Fermi level, states/eV/cell: 3.43
Polymorph energy (0 for the lowest one), meV/atom: 125
SG: No. 166

9.
The following is a PBE calculation of crystalline InTc2H at its relaxed geometry, from the Alexandria database.

```
InTc2H
1.0
-2.4695 2.4695 4.9241
2.4695 -2.4695 4.9241
2.4695 2.4695 -4.9241
In Tc H
2 4 2
Direct
0.3750 0.6250 0.7500
0.6250 0.3750 0.2500
0.0000 0.0000 0.0000
0.0000 0.0000 0.5000
0.0000 0.5000 0.0000
0.5000 0.0000 0.5000
0.1250 0.8750 0.2500
0.8750 0.1250 0.7500
```

Electronic total energy, eV/atom: -6.214
Density of states at the Fermi level, states/eV/cell: 8.39
SG: No. 141

10.
The following is a PBE calculation of crystalline InTcH3 at its relaxed geometry, from the Alexandria database.

```
InTcH3
1.0
3.5902 0.0000 0.0000
0.0000 3.5902 0.0000
0.0000 0.0000 3.5902
In Tc H
1 1 3
Direct
0.0000 0.0000 0.0000
0.5000 0.5000 0.5000
0.0000 0.5000 0.5000
0.5000 0.0000 0.5000
0.5000 0.5000 0.0000
```

Electronic total energy, eV/atom: -4.374
Density of states at the Fermi level, states/eV/cell: 2.57
Polymorph energy (0 for the lowest one), meV/atom: 0
SG: No. 221

11.
The following is a PBE calculation of crystalline In2TcH4 at its relaxed geometry, from the Alexandria database.

```
In2TcH4
1.0
5.1480 0.0000 0.0000
0.0000 4.7722 0.0000
-2.1802 0.0000 7.3572
In Tc H
4 2 8
Direct
0.1243 0.2500 0.1072
0.2939 0.2500 0.5296
0.7061 0.7500 0.4704
0.8757 0.7500 0.8928
0.1404 0.7500 0.2841
0.8596 0.2500 0.7159
0.1270 0.0308 0.7469
0.1270 0.4692 0.7469
0.1870 0.7500 0.5095
0.4130 0.7500 0.1950
0.5870 0.2500 0.8050
0.8130 0.2500 0.4905
0.8730 0.5308 0.2531
0.8730 0.9692 0.2531
```

Electronic total energy, eV/atom: -4.090
Density of states at the Fermi level, states/eV/cell: 2.72
Polymorph energy (0 for the lowest one), meV/atom: 0
SG: No. 11

12.
The following is a PBE calculation of crystalline InTcH2 at its relaxed geometry, from the Alexandria database.

```
InTcH2
1.0
-2.0110 2.0110 5.5902
2.0110 -2.0110 5.5902
2.0110 2.0110 -5.5902
In Tc H
2 2 4
Direct
0.0000 0.0000 0.0000
0.7500 0.2500 0.5000
0.2500 0.7500 0.5000
0.5000 0.5000 0.0000
0.2747 0.6250 0.1497
0.3750 0.5247 0.6497
0.4753 0.1250 0.8503
0.8750 0.7253 0.3503
```

Electronic total energy, eV/atom: -4.607
Density of states at the Fermi level, states/eV/cell: 3.66
Polymorph energy (0 for the lowest one), meV/atom: 47
SG: No. 122